Computed, not measured: a geometry-optimized HfOs3Br structure at the PBE level of DFT.

Computed properties:
DOS at the Fermi energy	6.36	states/eV/f.u.
E	-7.24	eV per atom

Cell lengths 4.551, 4.551, 4.551 Å; angles 90.00, 90.00, 90.00 degrees
Space group Pm-3m (No. 221)
Symmetry-distinct sites (fractional):
Hf1 0.000 0.000 0.000
Os1 0.000 0.500 0.500
Br1 0.500 0.500 0.500